Arrangement one

LiCrSb2 at its PBEsol-relaxed geometry. Source: the Alexandria database, functional meta-GGA SCAN.

abc: 4.1289 5.2918 5.2918
angles: 41.13 90.00 90.00
Positions (direct):
Li1 0.0000 0.0000 0.0000
Cr1 0.5000 0.1768 0.1768
Sb1 0.0000 0.7233 0.7233
Sb2 0.5000 0.4607 0.4607

Arrangement two

LiCrSb2 at its PBEsol-relaxed geometry. Source: the Alexandria database, functional meta-GGA SCAN.

abc: 3.7481 3.7481 5.5104
angles: 90.00 90.00 90.00
Positions (direct):
Li1 0.0000 0.0000 0.0000
Cr1 0.5000 0.5000 0.6672
Sb1 0.0000 0.0000 0.5225
Sb2 0.5000 0.5000 0.1612

Arrangement three

LiCrSb2 at its PBEsol-relaxed geometry. Source: the Alexandria database, functional meta-GGA SCAN.

abc: 4.9647 4.9647 4.9647
angles: 125.04 125.04 81.47
Positions (direct):
Li1 0.0000 0.0000 0.0000
Cr1 0.5000 0.5000 0.0000
Sb1 0.2500 0.7500 0.5000
Sb2 0.7500 0.2500 0.5000

Verdict on stability: arrangement two comes out at the bottom.

Arrangement one

LiCrSi2 at its PBEsol-relaxed geometry. Source: the Alexandria database, functional meta-GGA SCAN.

abc: 2.5873 2.5873 7.7483
angles: 90.00 90.00 90.00
Positions (direct):
Li1 0.0000 0.0000 0.0000
Cr1 0.0000 0.0000 0.5000
Si1 0.5000 0.5000 0.2763
Si2 0.5000 0.5000 0.7237

Arrangement two

LiCrSi2 at its PBEsol-relaxed geometry. Source: the Alexandria database, functional meta-GGA SCAN.

abc: 8.2614 8.2614 8.2614
angles: 19.09 19.09 19.09
Positions (direct):
Li1 0.0000 0.0000 0.0000
Cr1 0.5000 0.5000 0.5000
Si1 0.2431 0.2431 0.2431
Si2 0.7569 0.7569 0.7569

Arrangement three

LiCrSi2 at its PBEsol-relaxed geometry. Source: the Alexandria database, functional meta-GGA SCAN.

abc: 4.4804 4.4804 2.4957
angles: 90.00 90.00 109.91
Positions (direct):
Li1 0.0000 0.0000 0.0000
Cr1 0.5000 0.5000 0.0000
Si1 0.0000 0.5000 0.5000
Si2 0.5000 0.0000 0.5000

Verdict on stability: arrangement two comes out at the bottom.

Arrangement one

LiCrW2 at its PBEsol-relaxed geometry. Source: the Alexandria database, functional meta-GGA SCAN.

abc: 4.2899 4.2899 4.2899
angles: 122.90 122.90 85.04
Positions (direct):
Li1 0.0000 0.0000 0.0000
Cr1 0.5000 0.5000 0.0000
W1 0.2500 0.7500 0.5000
W2 0.7500 0.2500 0.5000

Arrangement two

LiCrW2 at its PBEsol-relaxed geometry. Source: the Alexandria database, functional meta-GGA SCAN.

abc: 4.2914 4.2914 4.2914
angles: 60.00 60.00 60.00
Positions (direct):
Li1 0.0000 0.0000 0.0000
Cr1 0.2500 0.2500 0.2500
W1 0.5000 0.5000 0.5000
W2 0.7500 0.7500 0.7500

Verdict on stability: arrangement one comes out at the bottom.